# 1
SrPmRh2 after structural relaxation, computed with PBE.

extended XYZ file:
```
4
Lattice="0.0000 3.5529 3.5529 3.5529 0.0000 3.5529 3.5529 3.5529 0.0000" Properties=species:S:1:pos:R:3 pbc="T T T"
Sr 0.0000 0.0000 0.0000
Pm 3.5529 3.5529 3.5529
Rh 1.7764 1.7764 1.7764
Rh 5.3293 5.3293 5.3293
```

Values from the calculation:
**Space group**: Fm-3m, No. 225
**E above lowest polymorph**: 67 meV per atom
**D(E_F)**: 1.678 states/eV/cell

---

# 2
Mg3ZnCd after structural relaxation, computed with PBE.

extended XYZ file:
```
10
Lattice="4.9807 -2.2342 0.0000 4.9807 2.2342 0.0000 -0.4490 0.0000 9.2675" Properties=species:S:1:pos:R:3 pbc="T T T"
Mg 0.2704 0.0000 3.1758
Mg 2.3399 0.0000 7.2069
Mg 4.1128 0.0000 1.1963
Mg 5.3994 0.0000 8.0711
Mg 7.1724 0.0000 2.0606
Mg 9.2419 0.0000 6.0916
Zn 1.2027 0.0000 0.5422
Zn 8.3096 0.0000 8.7253
Cd 3.2612 0.0000 4.0993
Cd 6.2510 0.0000 5.1682
```

Values from the calculation:
**Space group**: C2/m, No. 12
**E above lowest polymorph**: 0 meV per atom
**D(E_F)**: 3.478 states/eV/cell